1.
This record from the Alexandria database describes CsKCaF2 after structural relaxation. The functional is PBE.

Unit cell a=5.574 b=5.574 c=6.479 alpha=90.00 beta=90.00 gamma=90.00
Space group P4/mmm (No. 123)
Inequivalent atoms, fractional coordinates:
1 Cs 0.000 0.000 0.000 (multiplicity 1)
2 K 0.000 0.000 0.500 (multiplicity 1)
3 Ca 0.500 0.500 0.500 (multiplicity 1)
4 F 0.000 0.500 0.000 (multiplicity 2)

Output
- E_form (uncorrected): -117.92 kJ per mole of atoms

2.
This record from the Alexandria database describes Cs2LiCaF6 after structural relaxation. The functional is PBE.

Unit cell a=4.527 b=4.527 c=8.668 alpha=90.00 beta=90.00 gamma=90.00
Space group P4/mmm (No. 123)
Inequivalent atoms, fractional coordinates:
1 Cs 0.000 0.000 0.233 (multiplicity 2)
2 Li 0.500 0.500 0.000 (multiplicity 1)
3 Ca 0.500 0.500 0.500 (multiplicity 1)
4 F 0.000 0.500 0.000 (multiplicity 2)
5 F 0.000 0.500 0.500 (multiplicity 2)
6 F 0.500 0.500 0.232 (multiplicity 2)

Output
- E_form (uncorrected): -273.37 kJ per mole of atoms